# AcMgCd17 (PBE, relaxed)
# N(E_F) in states/eV per atom: 0.319
# Energy of formation in eV/atom: -0.071
# Total energy in eV/atom: -1.190
data_AcMgCd17
_symmetry_space_group_name_H-M 'R 3 m'
_symmetry_Int_Tables_number 160
_symmetry_space_group_name_Hall 'R 3 -2"'
_cell_length_a 10.1634
_cell_length_b 10.1634
_cell_length_c 15.2496
_cell_angle_alpha 90.00
_cell_angle_beta 90.00
_cell_angle_gamma 120.00
loop_
_atom_site_label
_atom_site_fract_x
_atom_site_fract_y
_atom_site_fract_z
Ac1 0.0000 0.0000 0.0000
Mg1 0.0000 0.0000 0.3342
Cd1 0.0000 0.0000 0.5518
Cd2 0.0000 0.0000 0.7507
Cd3 0.0379 0.3665 0.3306
Cd4 0.1773 0.3545 0.1363
Cd5 0.1850 0.3700 0.5048
Cd6 0.1992 0.3983 0.8534